Record 1
4
Lattice="-5.913 -0.138 -9.700 -6.547 -3.284 -8.685 -8.445 -0.739 -7.565" Properties=species:S:1:pos:R:3 comment="K2HgRh | the Alexandria database | PBE-GGA | relaxed" m_tot_mub_per_cell=0.31 e_form_ev_per_atom=0.473 dos_at_fermi_per_ev_atom=0.815 total_energy_ev_per_fu=-7.96 pbc="T T T"
K -20.675 -4.116 -25.664
Rh -5.226 -1.040 -6.488
K -10.683 -2.127 -13.261
Hg -15.679 -3.121 -19.463

Record 2
4
Lattice="-3.655 -0.417 -2.105 -3.518 -1.146 2.068 -3.394 4.064 0.822" Properties=species:S:1:pos:R:3 comment="TmGa2Os | the Alexandria database | PBE-GGA | relaxed" m_tot_mub_per_cell=0.00 e_form_ev_per_atom=-0.350 dos_at_fermi_per_ev_atom=0.476 total_energy_ev_per_fu=-23.16 pbc="T T T"
Ga -2.735 1.053 0.274
Tm 0.000 0.000 0.000
Ga -7.832 1.448 0.512
Os -5.284 1.250 0.393

Record 3
3
Lattice="5.065 0.000 0.000 2.532 4.386 0.000 2.532 1.462 4.135" Properties=species:S:1:pos:R:3 comment="BaYFe | the Alexandria database | PBE-GGA | relaxed" m_tot_mub_per_cell=2.06 e_form_ev_per_atom=1.356 dos_at_fermi_per_ev_atom=2.594 total_energy_ev_per_fu=-12.78 e_above_lowest_polymorph_mev_per_atom=954.2 pbc="T T T"
Ba 7.597 4.386 3.102
Y 5.065 2.924 2.068
Fe 0.000 0.000 0.000

Record 4
4
Lattice="3.638 0.000 0.000 1.819 3.151 0.000 1.819 1.050 12.002" Properties=species:S:1:pos:R:3 comment="La2YTh | the Alexandria database | PBE-GGA | relaxed" m_tot_mub_per_cell=0.00 e_form_ev_per_atom=0.039 dos_at_fermi_per_ev_atom=1.614 total_energy_ev_per_fu=-23.58 e_above_lowest_polymorph_mev_per_atom=14.1 pbc="T T T"
La 3.638 2.101 2.164
Y 1.819 1.050 11.192
Th 3.638 2.101 8.290
La 1.819 1.050 5.322

Record 5
16
Lattice="-3.262 -2.372 0.228 0.999 -1.712 -3.520 8.647 -11.136 7.870" Properties=species:S:1:pos:R:3 comment="ZrSn3Pd12 | the Alexandria database | PBE-GGA | relaxed" m_tot_mub_per_cell=0.00 e_form_ev_per_atom=-0.589 dos_at_fermi_per_ev_atom=0.141 total_energy_ev_per_fu=-92.30 pbc="T T T"
Pd 8.080 -10.618 5.139
Pd 3.192 -7.610 2.289
Sn 2.170 -2.795 1.975
Pd -0.564 -2.560 1.085
Pd 1.024 -4.819 0.316
Pd 5.949 -10.948 7.013
Pd 1.566 -2.230 -0.789
Pd 5.359 -10.401 4.262
Sn 6.477 -8.341 5.895
Pd 3.739 -5.028 1.188
Zr 0.000 0.000 0.000
Pd 1.608 -5.358 3.062
Pd 3.776 -8.150 5.036
Pd -1.132 -2.042 -1.646
Sn 4.323 -5.568 3.935
Pd 5.907 -7.820 3.162

Record 6
4
Lattice="4.095 0.000 0.000 2.048 3.546 0.000 2.048 1.182 3.344" Properties=species:S:1:pos:R:3 comment="MnReNi2 | the Alexandria database | PBE-GGA | relaxed" m_tot_mub_per_cell=1.36 e_form_ev_per_atom=0.119 dos_at_fermi_per_ev_atom=1.290 total_energy_ev_per_fu=-32.70 e_above_lowest_polymorph_mev_per_atom=114.6 pbc="T T T"
Mn 4.095 2.364 1.672
Ni 0.000 0.000 0.000
Re 6.143 3.546 2.508
Ni 2.048 1.182 0.836

Record 7
11
Lattice="6.490 1.596 0.632 -0.831 5.537 -3.138 3.087 0.163 5.873" Properties=species:S:1:pos:R:3 comment="Pm2UO8 | the Alexandria database | PBE-GGA | relaxed" formation_energy_uncorrected_kj_per_mol_fu=-2832 m_tot_mub_per_cell=2.03 total_energy_ev_per_fu=-89.81 pbc="T T T"
O 3.045 3.395 4.134
O 5.701 3.901 -0.766
O 1.169 0.599 0.593
Pm 5.577 2.265 2.148
Pm 3.169 5.031 1.219
U 6.332 0.961 6.189
O 3.469 2.787 0.964
O 3.018 5.947 -0.865
O 5.728 1.349 4.233
O 7.577 6.697 2.774
O 5.277 4.509 2.403

Record 8
6
Lattice="1.620 -8.759 0.000 1.620 8.759 0.000 0.000 0.000 5.030" Properties=species:S:1:pos:R:3 comment="Mg2Sn | the Alexandria database | PBE-GGA | relaxed" m_tot_mub_per_cell=0.00 e_form_ev_per_atom=-0.102 dos_at_fermi_per_ev_atom=0.349 total_energy_ev_per_fu=-7.50 pbc="T T T"
Sn 1.620 -5.070 0.000
Sn 1.620 7.041 0.000
Mg 1.620 -2.940 2.515
Mg 1.620 0.976 0.000
Mg 1.620 2.882 2.515
Mg 1.620 -8.728 2.515

Record 9
12
Lattice="-1.269 -6.779 2.837 -0.366 1.088 -7.369 8.353 0.177 0.876" Properties=species:S:1:pos:R:3 comment="Rb3La2ZrSe6 | the Alexandria database | PBE-GGA | relaxed" formation_energy_uncorrected_kj_per_mol_fu=-1858 m_tot_mub_per_cell=0.78 dos_at_fermi_per_ev_atom=0.485 total_energy_ev_per_fu=-61.47 pbc="T T T"
Zr 0.000 0.000 0.000
Rb 3.359 -2.757 -1.828
Rb 3.657 -0.164 -5.192
Se 5.284 -5.510 -1.244
Se 6.291 -1.241 -0.400
Se 5.564 -3.070 -4.410
Se 1.435 -0.004 -2.412
La -0.667 -1.538 -3.963
Rb 3.061 -5.351 1.536
La -0.968 -4.154 -0.569
Se 0.428 -4.273 -3.256
Se 1.154 -2.445 0.754

Record 10
5
Lattice="4.618 0.000 0.000 0.000 4.618 0.000 0.000 0.000 3.379" Properties=species:S:1:pos:R:3 comment="RuSOF2 | the Alexandria database | PBE-GGA | relaxed" formation_energy_uncorrected_kj_per_mol_fu=85 m_tot_mub_per_cell=3.20 dos_at_fermi_per_ev_atom=0.441 total_energy_ev_per_fu=-21.22 e_above_lowest_polymorph_mev_per_atom=556.8 pbc="T T T"
O 0.000 0.000 1.690
Ru 2.309 2.309 1.690
F 0.000 2.309 0.000
S 0.000 0.000 0.000
F 2.309 0.000 0.000

Record 11
8
Lattice="-1.023 3.799 -2.624 -4.304 0.188 1.951 5.823 3.319 6.795" Properties=species:S:1:pos:R:3 comment="YIn2Hg5 | the Alexandria database | PBE-GGA | relaxed" m_tot_mub_per_cell=0.00 e_form_ev_per_atom=-0.180 dos_at_fermi_per_ev_atom=0.528 total_energy_ev_per_fu=-14.89 pbc="T T T"
Hg 1.863 5.892 3.542
In 1.542 2.593 3.153
Y 0.000 0.000 0.000
Hg 0.222 4.087 5.830
Hg -1.367 1.413 2.579
Hg 0.273 3.219 0.292
Hg -2.664 1.993 -0.337
In -1.047 4.713 2.969

Record 12
11
Lattice="5.593 0.000 0.000 2.797 4.920 0.000 2.797 0.000 9.454" Properties=species:S:1:pos:R:3 comment="Na2Cd4Au5 | the Alexandria database | PBE-GGA | relaxed" m_tot_mub_per_cell=0.00 e_form_ev_per_atom=-0.195 dos_at_fermi_per_ev_atom=0.407 total_energy_ev_per_fu=-24.83 pbc="T T T"
Au 1.398 2.460 0.000
Au 4.195 2.460 0.000
Au 4.195 2.460 4.727
Na 2.797 0.000 6.119
Cd 8.390 3.362 7.043
Cd 5.593 1.558 7.043
Na 5.593 0.000 3.335
Cd 5.593 3.362 2.411
Au 2.797 0.000 0.000
Au 6.992 2.460 4.727
Cd 2.797 1.558 2.411